ZnAsO3 | PBE-GGA | relaxed

The structure in CIF format:
```
data_ZnAsO3
_symmetry_space_group_name_H-M 'P m -3 m'
_symmetry_Int_Tables_number 221
_symmetry_space_group_name_Hall '-P 4 2 3'
_cell_length_a 3.756
_cell_length_b 3.756
_cell_length_c 3.756
_cell_angle_alpha 90.00
_cell_angle_beta 90.00
_cell_angle_gamma 90.00
loop_
_atom_site_label
_atom_site_type_symbol
_atom_site_fract_x
_atom_site_fract_y
_atom_site_fract_z
Zn1 Zn 0.000 0.000 0.000
As1 As 0.500 0.500 0.500
O1 O 0.000 0.500 0.500
```

Values from the calculation:
ρ: 5.9 g/cm³
E_form (uncorrected): -63 kJ per mole of atoms
N(E_F): 0.8 states/eV/cell